(1)
! GGA-PBE ErTm2PaC4, relaxed; values from VASP
! - Energy of formation: -2.09 eV per formula unit
! - DFT total energy: -7.75 eV/atom
! - Space group: P2/m
&SYSTEM
  ibrav = 0, nat = 8, ntyp = 4
/
ATOMIC_SPECIES
Er 167.26 Er.upf
Tm 168.93 Tm.upf
Pa 231.04 Pa.upf
C 12.01 C.upf
CELL_PARAMETERS angstrom
3.561 0.000 0.000
0.000 6.150 -0.090
0.000 2.194 5.754
ATOMIC_POSITIONS crystal
Er 0.000 0.500 0.500
Tm 0.000 0.000 0.000
Tm 0.500 0.000 0.500
Pa 0.500 0.500 0.000
C 0.000 0.736 0.765
C 0.000 0.264 0.235
C 0.500 0.746 0.244
C 0.500 0.254 0.756

=====

(2)
! GGA-PBE LiMn2Os, relaxed; values from VASP
! - Energy of formation: 1.16 eV per formula unit
! - DFT total energy: -7.58 eV/atom
! - Space group: Immm
&SYSTEM
  ibrav = 0, nat = 4, ntyp = 3
/
ATOMIC_SPECIES
Li 6.94 Li.upf
Mn 54.94 Mn.upf
Os 190.23 Os.upf
CELL_PARAMETERS angstrom
-3.517 1.872 2.597
-2.954 -0.699 3.661
1.163 1.667 3.416
ATOMIC_POSITIONS crystal
Li 0.250 0.250 0.250
Mn 0.001 0.001 0.999
Mn 0.499 0.499 0.501
Os 0.750 0.750 0.750

=====

(3)
! GGA-PBE Pm2Y4ErMg, relaxed; values from VASP
! - Energy of formation: 0.22 eV per formula unit
! - DFT total energy: -5.16 eV/atom
! - Space group: P2/m
&SYSTEM
  ibrav = 0, nat = 8, ntyp = 4
/
ATOMIC_SPECIES
Pm 145.00 Pm.upf
Y 88.91 Y.upf
Er 167.26 Er.upf
Mg 24.30 Mg.upf
CELL_PARAMETERS angstrom
4.994 0.000 0.000
0.000 4.900 1.020
0.000 2.847 10.927
ATOMIC_POSITIONS crystal
Pm 0.000 0.000 0.000
Pm 0.500 0.000 0.500
Y 0.000 0.749 0.751
Y 0.000 0.251 0.249
Y 0.500 0.751 0.249
Y 0.500 0.249 0.751
Er 0.000 0.500 0.500
Mg 0.500 0.500 0.000

=====

(4)
! GGA-PBE Li2Ac3O6, relaxed; values from VASP
! - Energy relative to the elements, uncorrected: -2876 kJ/mol of formula units
! - DFT total energy: -6.88 eV/atom
! - Space group: I4/mmm
&SYSTEM
  ibrav = 0, nat = 11, ntyp = 3
/
ATOMIC_SPECIES
Li 6.94 Li.upf
Ac 227.00 Ac.upf
O 16.00 O.upf
CELL_PARAMETERS angstrom
3.953 0.000 0.000
0.000 3.953 0.000
-1.976 -1.976 10.136
ATOMIC_POSITIONS crystal
Li 0.398 0.398 0.796
Li 0.602 0.602 0.204
Ac 0.000 0.000 0.000
Ac 0.825 0.825 0.650
Ac 0.175 0.175 0.350
O 0.084 0.584 0.168
O 0.584 0.084 0.168
O 0.916 0.416 0.832
O 0.416 0.916 0.832
O 0.703 0.703 0.405
O 0.297 0.297 0.595

=====

(5)
! GGA-PBE TmNi2Ag, relaxed; values from VASP
! - ΔE to the lowest computed polymorph: 0.047 eV per atom
! - Energy of formation: -0.76 eV per formula unit
! - DFT total energy: -4.91 eV/atom
! - Space group: Fm-3m
&SYSTEM
  ibrav = 0, nat = 4, ntyp = 3
/
ATOMIC_SPECIES
Ni 58.69 Ni.upf
Tm 168.93 Tm.upf
Ag 107.87 Ag.upf
CELL_PARAMETERS angstrom
4.490 0.000 0.000
2.245 3.888 0.000
2.245 1.296 3.666
ATOMIC_POSITIONS crystal
Ni 0.250 0.250 0.250
Ni 0.750 0.750 0.750
Tm 0.000 0.000 0.000
Ag 0.500 0.500 0.500

=====

(6)
! GGA-PBE HfCrC2, relaxed; values from VASP
! - Energy of formation: 0.57 eV per formula unit
! - DFT total energy: -9.36 eV/atom
! - Space group: I-42d
&SYSTEM
  ibrav = 0, nat = 8, ntyp = 3
/
ATOMIC_SPECIES
Cr 52.00 Cr.upf
C 12.01 C.upf
Hf 178.49 Hf.upf
CELL_PARAMETERS angstrom
-3.132 3.088 1.581
-3.314 -2.033 -2.594
-4.276 -2.408 3.139
ATOMIC_POSITIONS crystal
Cr 0.500 0.500 0.000
Cr 0.250 0.750 0.500
C 0.575 0.125 0.250
C 0.175 0.625 0.250
C 0.375 0.425 0.750
C 0.875 0.825 0.750
Hf 0.000 0.000 0.000
Hf 0.750 0.250 0.500

=====

(7)
! GGA-PBE KSbPd, relaxed; values from VASP
! - Energy relative to the elements, uncorrected: -112 kJ/mol of formula units
! - DFT total energy: -3.86 eV/atom
! - Space group: I4mm
&SYSTEM
  ibrav = 0, nat = 3, ntyp = 3
/
ATOMIC_SPECIES
Sb 121.76 Sb.upf
K 39.10 K.upf
Pd 106.42 Pd.upf
CELL_PARAMETERS angstrom
-2.531 -2.519 -0.973
0.493 -1.742 3.228
-3.367 5.563 1.395
ATOMIC_POSITIONS crystal
Sb 0.716 0.716 0.432
K 0.001 0.001 0.002
Pd 0.283 0.283 0.566

=====

(8)
! GGA-PBE HfMn2Ga3, relaxed; values from VASP
! - Energy of formation: -1.02 eV per formula unit
! - DFT total energy: -6.40 eV/atom
! - Space group: R-3m
&SYSTEM
  ibrav = 0, nat = 12, ntyp = 3
/
ATOMIC_SPECIES
Hf 178.49 Hf.upf
Mn 54.94 Mn.upf
Ga 69.72 Ga.upf
CELL_PARAMETERS angstrom
5.665 0.000 0.000
2.832 4.906 0.000
2.832 1.635 6.708
ATOMIC_POSITIONS crystal
Hf 0.784 0.784 0.649
Hf 0.216 0.216 0.351
Mn 0.000 0.000 0.000
Mn 0.000 0.500 0.000
Mn 0.500 0.500 0.000
Mn 0.500 0.000 0.000
Ga 0.243 0.729 0.299
Ga 0.729 0.243 0.299
Ga 0.729 0.729 0.299
Ga 0.271 0.757 0.701
Ga 0.757 0.271 0.701
Ga 0.271 0.271 0.701

=====

(9)
! GGA-PBE Na2Ca2Sn, relaxed; values from VASP
! - ΔE to the lowest computed polymorph: 0.000 eV per atom
! - Energy of formation: -0.42 eV per formula unit
! - DFT total energy: -2.21 eV/atom
! - Space group: P4/mbm
&SYSTEM
  ibrav = 0, nat = 10, ntyp = 3
/
ATOMIC_SPECIES
Na 22.99 Na.upf
Ca 40.08 Ca.upf
Sn 118.71 Sn.upf
CELL_PARAMETERS angstrom
-3.836 3.417 -5.843
-6.719 -2.738 2.809
-0.554 4.330 2.896
ATOMIC_POSITIONS crystal
Na 0.372 0.872 0.000
Na 0.872 0.628 0.000
Na 0.628 0.128 0.000
Na 0.128 0.372 0.000
Ca 0.197 0.697 0.500
Ca 0.697 0.803 0.500
Ca 0.803 0.303 0.500
Ca 0.303 0.197 0.500
Sn 0.000 0.000 0.000
Sn 0.500 0.500 0.000

=====

(10)
! GGA-PBE AlCuAs2Os, relaxed; values from VASP
! - Energy of formation: 6.51 eV per formula unit
! - DFT total energy: -4.37 eV/atom
! - Space group: P4/mmm
&SYSTEM
  ibrav = 0, nat = 5, ntyp = 4
/
ATOMIC_SPECIES
As 74.92 As.upf
Os 190.23 Os.upf
Al 26.98 Al.upf
Cu 63.55 Cu.upf
CELL_PARAMETERS angstrom
4.711 0.000 0.000
0.000 4.583 0.000
0.000 0.000 4.711
ATOMIC_POSITIONS crystal
As 0.000 0.000 0.500
As 0.500 0.000 0.000
Os 0.000 0.500 0.000
Al 0.000 0.000 0.000
Cu 0.500 0.500 0.500

=====

(11)
! GGA-PBE Al3Cu2Ni3, relaxed; values from VASP
! - ΔE to the lowest computed polymorph: 0.000 eV per atom
! - Energy of formation: -3.22 eV per formula unit
! - DFT total energy: -5.00 eV/atom
! - Space group: P-1
&SYSTEM
  ibrav = 0, nat = 16, ntyp = 3
/
ATOMIC_SPECIES
Ni 58.69 Ni.upf
Al 26.98 Al.upf
Cu 63.55 Cu.upf
CELL_PARAMETERS angstrom
-0.977 -5.740 3.550
1.996 -4.876 -4.261
4.287 -2.306 1.414
ATOMIC_POSITIONS crystal
Ni 0.550 0.797 0.824
Ni 0.450 0.203 0.176
Ni 0.287 0.551 0.330
Ni 0.713 0.449 0.670
Ni 0.186 0.947 0.720
Ni 0.814 0.053 0.280
Al 0.323 0.545 0.820
Al 0.677 0.455 0.180
Al 0.949 0.699 0.211
Al 0.051 0.301 0.789
Al 0.223 0.949 0.194
Al 0.777 0.051 0.806
Cu 0.450 0.198 0.665
Cu 0.550 0.802 0.335
Cu 0.046 0.294 0.304
Cu 0.954 0.706 0.696

=====

(12)
! GGA-PBE PuNb3, relaxed; values from VASP
! - ΔE to the lowest computed polymorph: 0.000 eV per atom
! - Energy of formation: 0.63 eV per formula unit
! - DFT total energy: -10.98 eV/atom
! - Space group: Fm-3m
&SYSTEM
  ibrav = 0, nat = 4, ntyp = 2
/
ATOMIC_SPECIES
Nb 92.91 Nb.upf
Pu 244.00 Pu.upf
CELL_PARAMETERS angstrom
-0.966 -2.717 3.813
3.548 -1.481 2.841
0.452 1.810 4.402
ATOMIC_POSITIONS crystal
Nb 0.000 0.000 0.000
Nb 0.750 0.750 0.750
Nb 0.250 0.250 0.250
Pu 0.500 0.500 0.500

=====

(13)
! GGA-PBE CdAs, relaxed; values from VASP
! - ΔE to the lowest computed polymorph: 0.107 eV per atom
! - Energy of formation: 0.05 eV per formula unit
! - DFT total energy: -2.76 eV/atom
! - Space group: Pmn2_1
&SYSTEM
  ibrav = 0, nat = 12, ntyp = 2
/
ATOMIC_SPECIES
Cd 112.41 Cd.upf
As 74.92 As.upf
CELL_PARAMETERS angstrom
13.696 0.000 0.000
0.000 4.788 0.000
0.000 0.000 4.736
ATOMIC_POSITIONS crystal
Cd 0.864 0.970 0.048
Cd 0.636 0.030 0.548
Cd 0.136 0.970 0.048
Cd 0.364 0.030 0.548
Cd 0.000 0.512 0.677
Cd 0.500 0.488 0.177
As 0.790 0.467 0.893
As 0.710 0.533 0.393
As 0.210 0.467 0.893
As 0.290 0.533 0.393
As 0.000 0.013 0.443
As 0.500 0.987 0.943

=====

(14)
! GGA-PBE Pu6HfPa12, relaxed; values from VASP
! - Energy of formation: 6.69 eV per formula unit
! - DFT total energy: -10.70 eV/atom
! - Space group: R-3m
&SYSTEM
  ibrav = 0, nat = 19, ntyp = 3
/
ATOMIC_SPECIES
Pu 244.00 Pu.upf
Hf 178.49 Hf.upf
Pa 231.04 Pa.upf
CELL_PARAMETERS angstrom
8.168 -0.163 -0.230
-2.183 7.873 -0.230
-2.183 -2.812 7.357
ATOMIC_POSITIONS crystal
Pu 0.729 0.273 0.273
Pu 0.273 0.273 0.729
Pu 0.273 0.729 0.273
Pu 0.727 0.727 0.271
Pu 0.271 0.727 0.727
Pu 0.727 0.271 0.727
Hf 0.000 0.000 0.000
Pa 0.883 0.117 0.500
Pa 0.835 0.582 0.582
Pa 0.582 0.582 0.835
Pa 0.418 0.165 0.418
Pa 0.418 0.418 0.165
Pa 0.165 0.418 0.418
Pa 0.117 0.500 0.883
Pa 0.500 0.883 0.117
Pa 0.117 0.883 0.500
Pa 0.883 0.500 0.117
Pa 0.500 0.117 0.883
Pa 0.582 0.835 0.582

=====

(15)
! GGA-PBE DyYMg2, relaxed; values from VASP
! - Energy of formation: 0.21 eV per formula unit
! - DFT total energy: -3.51 eV/atom
! - Space group: R3m
&SYSTEM
  ibrav = 0, nat = 4, ntyp = 3
/
ATOMIC_SPECIES
Dy 162.50 Dy.upf
Y 88.91 Y.upf
Mg 24.30 Mg.upf
CELL_PARAMETERS angstrom
-2.351 1.413 2.099
0.236 -0.459 3.415
5.470 9.411 2.634
ATOMIC_POSITIONS crystal
Dy 0.499 0.499 0.504
Y 0.668 0.668 0.996
Mg 0.083 0.083 0.750
Mg 0.250 0.250 0.250

=====

(16)
! GGA-PBE VPRhCl2, relaxed; values from VASP
! - ΔE to the lowest computed polymorph: 0.000 eV per atom
! - Energy relative to the elements, uncorrected: 201 kJ/mol of formula units
! - DFT total energy: -4.70 eV/atom
! - Space group: P4/mmm
&SYSTEM
  ibrav = 0, nat = 5, ntyp = 4
/
ATOMIC_SPECIES
P 30.97 P.upf
Cl 35.45 Cl.upf
Rh 102.91 Rh.upf
V 50.94 V.upf
CELL_PARAMETERS angstrom
4.435 0.000 0.000
0.000 4.435 0.000
0.000 0.000 4.887
ATOMIC_POSITIONS crystal
P 0.000 0.000 0.500
Cl 0.000 0.500 0.000
Cl 0.500 0.000 0.000
Rh 0.500 0.500 0.500
V 0.000 0.000 0.000

=====

(17)
! GGA-PBE AcTmTcO6, relaxed; values from VASP
! - Energy relative to the elements, uncorrected: -2216 kJ/mol of formula units
! - DFT total energy: -7.96 eV/atom
! - Space group: P312
&SYSTEM
  ibrav = 0, nat = 9, ntyp = 4
/
ATOMIC_SPECIES
Ac 227.00 Ac.upf
Tm 168.93 Tm.upf
Tc 98.00 Tc.upf
O 16.00 O.upf
CELL_PARAMETERS angstrom
-0.230 -2.531 -4.887
4.423 -0.059 -3.282
1.612 -4.496 2.253
ATOMIC_POSITIONS crystal
Ac 0.000 0.000 0.000
Tm 0.667 0.667 0.500
Tc 0.333 0.333 0.500
O 0.036 0.347 0.290
O 0.347 0.036 0.710
O 0.617 0.347 0.710
O 0.036 0.617 0.710
O 0.347 0.617 0.290
O 0.617 0.036 0.290

=====

(18)
! GGA-PBE Th2SbTe, relaxed; values from VASP
! - ΔE to the lowest computed polymorph: 0.045 eV per atom
! - Energy relative to the elements, uncorrected: -365 kJ/mol of formula units
! - DFT total energy: -6.47 eV/atom
! - Space group: R3m
&SYSTEM
  ibrav = 0, nat = 4, ntyp = 3
/
ATOMIC_SPECIES
Th 232.04 Th.upf
Sb 121.76 Sb.upf
Te 127.60 Te.upf
CELL_PARAMETERS angstrom
4.256 0.000 0.000
2.128 3.686 0.000
2.128 1.229 8.180
ATOMIC_POSITIONS crystal
Th 0.080 0.080 0.760
Th 0.254 0.254 0.239
Sb 0.667 0.667 0.000
Te 0.500 0.500 0.501

=====

(19)
! GGA-PBE InHgBr, relaxed; values from VASP
! - ΔE to the lowest computed polymorph: 0.023 eV per atom
! - Energy relative to the elements, uncorrected: -115 kJ/mol of formula units
! - DFT total energy: -1.97 eV/atom
! - Space group: Pnma
&SYSTEM
  ibrav = 0, nat = 12, ntyp = 3
/
ATOMIC_SPECIES
In 114.82 In.upf
Hg 200.59 Hg.upf
Br 79.90 Br.upf
CELL_PARAMETERS angstrom
-2.178 -5.274 -2.771
0.567 -3.377 5.981
-9.077 2.542 2.296
ATOMIC_POSITIONS crystal
In 0.750 0.394 0.342
In 0.750 0.106 0.842
In 0.250 0.894 0.158
In 0.250 0.606 0.658
Hg 0.750 0.482 0.018
Hg 0.750 0.018 0.518
Hg 0.250 0.518 0.982
Hg 0.250 0.982 0.482
Br 0.750 0.942 0.141
Br 0.750 0.558 0.641
Br 0.250 0.442 0.359
Br 0.250 0.058 0.859

=====

(20)
! GGA-PBE Na2Pm2NpS6, relaxed; values from VASP
! - Energy relative to the elements, uncorrected: -1737 kJ/mol of formula units
! - DFT total energy: -6.17 eV/atom
! - Space group: C2/m
&SYSTEM
  ibrav = 0, nat = 11, ntyp = 4
/
ATOMIC_SPECIES
Na 22.99 Na.upf
Pm 145.00 Pm.upf
Np 237.00 Np.upf
S 32.06 S.upf
CELL_PARAMETERS angstrom
7.049 0.001 0.087
-3.483 6.128 0.087
-1.255 -2.157 6.647
ATOMIC_POSITIONS crystal
Na 0.831 0.169 0.000
Na 0.169 0.831 0.000
Pm 0.335 0.665 0.500
Pm 0.665 0.335 0.500
Np 0.000 0.000 0.500
S 0.759 0.759 0.722
S 0.069 0.395 0.722
S 0.241 0.241 0.278
S 0.395 0.069 0.722
S 0.931 0.605 0.278
S 0.605 0.931 0.278